Record 1
Entry from Alexandria: Ca4CrRu after structural relaxation (GGA-PBE).

a b c (Å): 8.762 8.762 8.762
angles (deg): 90.00 90.00 90.00
Space group F-43m (No. 216)
Symmetry-distinct sites (fractional):
Ca1 0.124 0.124 0.376 x16
Cr1 0.000 0.000 0.000 x4
Ru1 0.250 0.250 0.750 x4

Output
For the formation energy, the calculation gives 1088 meV per atom.

***

Record 2
Entry from Alexandria: CeHfF6 after structural relaxation (GGA-PBE).

a b c (Å): 5.780 8.086 5.377
angles (deg): 90.00 103.03 90.00
Space group C2/m (No. 12)
Symmetry-distinct sites (fractional):
Ce1 0.000 0.000 0.000 x2
Hf1 0.000 0.500 0.500 x2
F1 0.150 0.327 0.769 x8
F2 0.224 0.000 0.678 x4

Output
The value obtained for the raw formation energy is -3.597 eV per atom.

***

Record 3
Entry from Alexandria: Cs5AsI2 after structural relaxation (GGA-PBE).

a b c (Å): 15.747 11.425 9.982
angles (deg): 90.00 90.00 90.00
Space group Pnma (No. 62)
Symmetry-distinct sites (fractional):
Cs1 0.004 0.250 0.075 x4
Cs2 0.078 0.535 0.335 x8
Cs3 0.187 0.250 0.635 x4
Cs4 0.211 0.750 0.671 x4
As1 0.008 0.250 0.429 x4
I1 0.169 0.006 0.948 x8

Output
The value obtained for the raw formation energy is -0.920 eV per atom.

***

Record 4
Entry from Alexandria: CdGa3Ni after structural relaxation (GGA-PBE).

a b c (Å): 4.648 4.648 4.648
angles (deg): 90.00 90.00 90.00
Space group Pm-3m (No. 221)
Symmetry-distinct sites (fractional):
Cd1 0.000 0.000 0.000 x1
Ga1 0.000 0.500 0.500 x3
Ni1 0.500 0.500 0.500 x1

Output
For the formation energy, the calculation gives -57 meV per atom. Its polymorph energy (0 for the lowest one) is 0.000 eV/atom.

***

Record 5
Entry from Alexandria: PmNiHg after structural relaxation (GGA-PBE).

a b c (Å): 10.247 4.077 7.402
angles (deg): 90.00 123.56 90.00
Space group C2/m (No. 12)
Symmetry-distinct sites (fractional):
Pm1 0.063 0.000 0.319 x4
Ni1 0.132 0.500 0.657 x4
Hg1 0.180 0.500 0.091 x4

Output
For the formation energy, the calculation gives -400 meV per atom. Its polymorph energy (0 for the lowest one) is 0.031 eV/atom.

***

Record 6
Entry from Alexandria: Ca2CdMo after structural relaxation (GGA-PBE).

a b c (Å): 3.066 5.284 5.968
angles (deg): 90.00 90.21 90.00
Space group Pm (No. 6)
Symmetry-distinct sites (fractional):
Ca1 0.000 0.000 0.000 x1
Ca2 0.007 0.500 0.655 x1
Cd1 0.504 0.500 0.196 x1
Mo1 0.503 0.000 0.476 x1

Output
For the formation energy, the calculation gives 488 meV per atom.

***

Record 7
Entry from Alexandria: Sr3Ag2Au9 after structural relaxation (GGA-PBE).

a b c (Å): 4.684 9.898 13.920
angles (deg): 90.00 90.00 90.00
Space group Immm (No. 71)
Symmetry-distinct sites (fractional):
Sr1 0.000 0.000 0.000 x2
Sr2 0.000 0.000 0.298 x4
Ag1 0.000 0.186 0.500 x4
Au1 0.000 0.281 0.127 x8
Au2 0.000 0.361 0.334 x8
Au3 0.000 0.500 0.000 x2

Output
For the formation energy, the calculation gives -491 meV per atom.

***

Record 8
Entry from Alexandria: Tb6SnSe5 after structural relaxation (GGA-PBE).

a b c (Å): 7.193 12.449 7.216
angles (deg): 90.00 109.36 90.00
Space group C2/m (No. 12)
Symmetry-distinct sites (fractional):
Tb1 0.245 0.000 0.253 x4
Tb2 0.246 0.169 0.744 x8
Sn1 0.000 0.500 0.000 x2
Se1 0.000 0.000 0.500 x2
Se2 0.000 0.168 0.000 x4
Se3 0.000 0.336 0.500 x4

Output
The value obtained for the raw formation energy is -1.613 eV per atom.

***

Record 9
Entry from Alexandria: TlSb3S after structural relaxation (GGA-PBE).

a b c (Å): 5.680 5.680 5.680
angles (deg): 90.00 90.00 90.00
Space group Pm-3m (No. 221)
Symmetry-distinct sites (fractional):
Tl1 0.000 0.000 0.000 x1
Sb1 0.000 0.000 0.500 x3
S1 0.500 0.500 0.500 x1

Output
Its polymorph energy (0 for the lowest one) is 0.829 eV/atom. The value obtained for the raw formation energy is 1.222 eV per atom.

***

Record 10
Entry from Alexandria: HoCoB2Os after structural relaxation (GGA-PBE).

a b c (Å): 3.762 3.762 9.400
angles (deg): 90.00 90.00 90.00
Space group I-4m2 (No. 119)
Symmetry-distinct sites (fractional):
Ho1 0.000 0.000 0.000 x2
Co1 0.000 0.500 0.250 x2
B1 0.000 0.000 0.344 x4
Os1 0.000 0.500 0.750 x2

Output
For the formation energy, the calculation gives -501 meV per atom.

***

Record 11
Entry from Alexandria: Nb2InGa2 after structural relaxation (GGA-PBE).

a b c (Å): 6.964 6.964 3.670
angles (deg): 90.00 90.00 90.00
Space group P4/mbm (No. 127)
Symmetry-distinct sites (fractional):
Nb1 0.172 0.328 0.000 x4
In1 0.000 0.000 0.500 x2
Ga1 0.126 0.626 0.500 x4

Output
For the formation energy, the calculation gives -47 meV per atom. Its polymorph energy (0 for the lowest one) is 0.000 eV/atom.

***

Record 12
Entry from Alexandria: YTa2 after structural relaxation (GGA-PBE).

a b c (Å): 4.9204 4.9204 3.0889
angles (deg): 90.00 90.00 120.00
Space group P-3m1 (No. 164)
Symmetry-distinct sites (fractional):
Y1 0.0000 0.0000 0.0000 x1
Ta1 0.3333 0.6667 0.4230 x2

Output
For the formation energy, the calculation gives 386 meV per atom. Its polymorph energy (0 for the lowest one) is 0.140 eV/atom.

***

Record 13
Entry from Alexandria: Pt2BrO2 after structural relaxation (GGA-PBE).

a b c (Å): 7.297 7.297 2.789
angles (deg): 90.00 90.00 90.00
Space group P4/mbm (No. 127)
Symmetry-distinct sites (fractional):
Pt1 0.135 0.365 0.000 x4
Br1 0.000 0.000 0.500 x2
O1 0.119 0.619 0.500 x4

Output
Its polymorph energy (0 for the lowest one) is 0.533 eV/atom. The value obtained for the raw formation energy is 0.990 eV per atom.

***

Record 14
Entry from Alexandria: PmTm5Cu6 after structural relaxation (GGA-PBE).

a b c (Å): 4.880 6.835 7.730
angles (deg): 90.00 108.28 90.00
Space group P2/m (No. 10)
Symmetry-distinct sites (fractional):
Pm1 0.000 0.000 0.000 x1
Tm1 0.000 0.500 0.000 x1
Tm2 0.332 0.000 0.664 x2
Tm3 0.334 0.500 0.668 x2
Cu1 0.169 0.254 0.341 x4
Cu2 0.500 0.263 0.000 x2

Output
For the formation energy, the calculation gives -270 meV per atom.

***

Record 15
Entry from Alexandria: PrTm2Al after structural relaxation (GGA-PBE).

a b c (Å): 7.590 7.590 7.590
angles (deg): 90.00 90.00 90.00
Space group Fm-3m (No. 225)
Symmetry-distinct sites (fractional):
Pr1 0.000 0.000 0.000 x4
Tm1 0.250 0.250 0.250 x8
Al1 0.000 0.000 0.500 x4

Output
For the formation energy, the calculation gives 27 meV per atom. Its polymorph energy (0 for the lowest one) is 0.227 eV/atom.

***

Record 16
Entry from Alexandria: Fe3NiRh after structural relaxation (GGA-PBE).

a b c (Å): 4.9181 4.9181 12.0474
angles (deg): 90.00 90.00 120.00
Space group R-3m (No. 166, hexagonal axes)
Symmetry-distinct sites (fractional):
Fe1 0.0000 0.5000 0.0000 x9
Ni1 0.0000 0.0000 0.0000 x3
Rh1 0.0000 0.0000 0.5000 x3

Output
For the formation energy, the calculation gives 859 meV per atom. Its polymorph energy (0 for the lowest one) is 0.756 eV/atom.

***

Record 17
Entry from Alexandria: GeS2ClO8 after structural relaxation (GGA-PBE).

a b c (Å): 7.930 5.073 9.750
angles (deg): 90.00 111.29 90.00
Space group C2/m (No. 12)
Symmetry-distinct sites (fractional):
Ge1 0.000 0.000 0.000 x2
S1 0.070 0.500 0.829 x4
Cl1 0.000 0.000 0.500 x2
O1 0.033 0.261 0.150 x8
O2 0.085 0.500 0.688 x4
O3 0.248 0.500 0.960 x4

Output
The value obtained for the raw formation energy is -1.027 eV per atom.

***

Record 18
Entry from Alexandria: DyTlHg3 after structural relaxation (GGA-PBE).

a b c (Å): 6.255 16.000 5.658
angles (deg): 90.00 90.00 90.00
Space group Cmcm (No. 63)
Symmetry-distinct sites (fractional):
Dy1 0.000 0.180 0.250 x4
Tl1 0.000 0.388 0.750 x4
Hg1 0.000 0.000 0.000 x4
Hg2 0.244 0.158 0.750 x8

Output
For the formation energy, the calculation gives -148 meV per atom. Its polymorph energy (0 for the lowest one) is 0.047 eV/atom.

***

Record 19
Entry from Alexandria: LiCaRe2Au after structural relaxation (GGA-PBE).

a b c (Å): 4.702 4.702 4.043
angles (deg): 90.00 90.00 90.00
Space group P4/mmm (No. 123)
Symmetry-distinct sites (fractional):
Li1 0.000 0.000 0.000 x1
Ca1 0.000 0.000 0.500 x1
Re1 0.000 0.500 0.500 x2
Au1 0.500 0.500 0.000 x1

Output
For the formation energy, the calculation gives 2337 meV per atom.

***

Record 20
Entry from Alexandria: YMoRh after structural relaxation (GGA-PBE).

a b c (Å): 3.137 3.137 11.756
angles (deg): 90.00 90.00 90.00
Space group I4mm (No. 107)
Symmetry-distinct sites (fractional):
Y1 0.000 0.000 0.000 x2
Mo1 0.000 0.000 0.692 x2
Rh1 0.000 0.000 0.309 x2

Output
For the formation energy, the calculation gives -55 meV per atom. Its polymorph energy (0 for the lowest one) is 0.000 eV/atom.